VASP calculation (PBE with a Hubbard U) on Fe2TeF4 after structural relaxation.

Cell lengths 7.415, 7.415, 7.415 Å; angles 142.63, 142.63, 53.89 degrees
Atoms (fractional coordinates):
Fe  0.110  0.110  0.000
Fe  0.890  0.890  0.000
Te  0.500  0.500  0.000
F  0.000  0.500  0.500
F  0.247  0.247  0.000
F  0.500  0.000  0.500
F  0.753  0.753  0.000

**Spin magnetization**: 8.00 μB per cell
**Space-group type**: I4/mmm (139)
**Total DFT energy (no corrections)**: -4.18 eV per atom

VASP calculation (PBE with a Hubbard U) on Fe2Te2F after structural relaxation.

Cell lengths 7.021, 7.021, 4.228 Å; angles 90.00, 90.00, 90.00 degrees
Atoms (fractional coordinates):
Fe  0.160  0.340  0.000
Fe  0.340  0.840  0.000
Fe  0.660  0.160  0.000
Fe  0.840  0.660  0.000
Te  0.161  0.661  0.500
Te  0.339  0.161  0.500
Te  0.661  0.839  0.500
Te  0.839  0.339  0.500
F  0.000  0.000  0.000
F  0.500  0.500  0.000

**Spin magnetization**: 14.43 μB per cell
**Excess energy over the best structure of this formula in the dataset**: 283 meV per atom
**Space-group type**: P4/mbm (127)
**Total DFT energy (no corrections)**: -4.10 eV per atom

VASP calculation (PBE with a Hubbard U) on FeTeF2 after structural relaxation.

Cell lengths 9.654, 9.654, 9.654 Å; angles 18.61, 18.61, 18.61 degrees
Atoms (fractional coordinates):
Fe  0.000  0.000  0.000
Te  0.500  0.500  0.500
F  0.062  0.062  0.062
F  0.938  0.938  0.938

**Spin magnetization**: 3.61 μB per cell
**Excess energy over the best structure of this formula in the dataset**: 319 meV per atom
**Space-group type**: R-3m (166)
**Total DFT energy (no corrections)**: -4.07 eV per atom